# 1
This record from Alexandria via LeMat-Bulk describes crystalline RbLiLa3 at its relaxed geometry. The functional is GGA-PBE.

Cell and atoms, written as CIF:
```
data_RbLiLa3
_symmetry_space_group_name_H-M 'P m -3 m'
_symmetry_Int_Tables_number 221
_symmetry_space_group_name_Hall '-P 4 2 3'
_cell_length_a 5.871
_cell_length_b 5.871
_cell_length_c 5.871
_cell_angle_alpha 90.00
_cell_angle_beta 90.00
_cell_angle_gamma 90.00
loop_
_atom_site_label
_atom_site_fract_x
_atom_site_fract_y
_atom_site_fract_z
_atom_site_occupancy
Rb1 0.000 0.000 0.000 1
Li1 0.500 0.500 0.500 1
La1 0.000 0.000 0.500 1
```

- calculated density (g/cm³) = 4.18
- crystal system = cubic
- volume (Å³/cell) = 202.3
- DFT formation energy (eV/atom) = 1.08
- relative energy among the computed polymorphs (kcal/mol of atoms) = 11.790
- D(E_F) (states/eV per cell) = 7.5


# 2
This record from Alexandria via LeMat-Bulk describes crystalline RbLi2LaRh at its relaxed geometry. The functional is GGA-PBE.

Cell and atoms, written as CIF:
```
data_RbLi2LaRh
_symmetry_space_group_name_H-M 'P 4/m m m'
_symmetry_Int_Tables_number 123
_symmetry_space_group_name_Hall '-P 4 2'
_cell_length_a 5.538
_cell_length_b 5.538
_cell_length_c 5.129
_cell_angle_alpha 90.00
_cell_angle_beta 90.00
_cell_angle_gamma 90.00
loop_
_atom_site_label
_atom_site_fract_x
_atom_site_fract_y
_atom_site_fract_z
_atom_site_occupancy
Rb1 0.000 0.000 0.000 1
Li1 0.000 0.500 0.500 1
La1 0.500 0.500 0.000 1
Rh1 0.500 0.500 0.500 1
```

- calculated density (g/cm³) = 3.60
- crystal system = tetragonal
- volume (Å³/cell) = 157.3
- DFT formation energy (eV/atom) = 0.01
- D(E_F) (states/eV per cell) = 4.3


# 3
This record from Alexandria via LeMat-Bulk describes crystalline RbLi2LaRu at its relaxed geometry. The functional is GGA-PBE.

Cell and atoms, written as CIF:
```
data_RbLi2LaRu
_symmetry_space_group_name_H-M 'P 4/m m m'
_symmetry_Int_Tables_number 123
_symmetry_space_group_name_Hall '-P 4 2'
_cell_length_a 4.427
_cell_length_b 4.427
_cell_length_c 6.000
_cell_angle_alpha 90.00
_cell_angle_beta 90.00
_cell_angle_gamma 90.00
loop_
_atom_site_label
_atom_site_fract_x
_atom_site_fract_y
_atom_site_fract_z
_atom_site_occupancy
Rb1 0.000 0.000 0.000 1
Li1 0.000 0.500 0.000 1
La1 0.000 0.000 0.500 1
Ru1 0.500 0.500 0.500 1
```

- calculated density (g/cm³) = 4.79
- crystal system = tetragonal
- volume (Å³/cell) = 117.6
- DFT formation energy (eV/atom) = 1.27
- D(E_F) (states/eV per cell) = 1.9